Entry from the Alexandria database: crystalline RbTl5Sb at its relaxed geometry (PBE-GGA). Values from VASP.

**Total DFT energy (no corrections)**: -2.473 eV per atom
**Magnetic moment**: 0.00 μB per cell
**DOS at the Fermi energy**: 3.10 states/eV/cell
**SG**: No. 123
**Formation energy (no corrections)**: -56 meV per atom

Structure (Quantum ESPRESSO input):
```
&SYSTEM
  ibrav = 0, nat = 7, ntyp = 3
/
ATOMIC_SPECIES
Rb 85.47 Rb.upf
Tl 204.38 Tl.upf
Sb 121.76 Sb.upf
ATOMIC_POSITIONS crystal
Rb 0.000 0.000 0.500
Tl 0.000 0.500 0.218
Tl 0.000 0.500 0.782
Tl 0.500 0.000 0.218
Tl 0.500 0.000 0.782
Tl 0.000 0.000 0.000
Sb 0.500 0.500 0.000
CELL_PARAMETERS angstrom
-2.239 -2.787 -3.514
2.225 -4.100 1.834
-8.216 -1.562 6.475
```